AcTb2RuO8 | PBE | relaxed

Cell lengths 5.112, 7.045, 5.119 Å; angles 90.00, 90.91, 90.00 degrees
Space group P2/m (No. 10)
One atom of each set of equivalent atoms:
Ac 0.000 0.000 0.000 (multiplicity 1)
Tb 0.500 0.254 0.500 (multiplicity 2)
Ru 0.000 0.500 0.000 (multiplicity 1)
O 0.187 0.303 0.186 (multiplicity 4)
O 0.264 0.500 0.735 (multiplicity 2)
O 0.322 0.000 0.676 (multiplicity 2)

Output
E	-7.55	eV/atom
ΔE_f (raw)	-28.2	eV per formula unit
total magnetic moment	0.097	μB/atom

Tl3CuPd2Cl9 | PBE | relaxed

Cell lengths 6.9951, 6.9951, 8.5620 Å; angles 90.00, 90.00, 120.00 degrees
Space group P-3m1 (No. 164)
One atom of each set of equivalent atoms:
Tl 0.0000 0.0000 0.0000 (multiplicity 1)
Tl 0.3333 0.6667 0.6603 (multiplicity 2)
Cu 0.0000 0.0000 0.5000 (multiplicity 1)
Pd 0.3333 0.6667 0.1682 (multiplicity 2)
Cl 0.0000 0.5000 0.0000 (multiplicity 3)
Cl 0.1651 0.3303 0.3349 (multiplicity 6)

Output
E	-3.23	eV/atom
ΔE_f (raw)	-10.3	eV per formula unit
total magnetic moment	0.000	μB/atom

What did the first record say?
AcTb2RuO8 | PBE | relaxed

Cell lengths 5.112, 7.045, 5.119 Å; angles 90.00, 90.91, 90.00 degrees
Space group P2/m (No. 10)
One atom of each set of equivalent atoms:
Ac 0.000 0.000 0.000 (multiplicity 1)
Tb 0.500 0.254 0.500 (multiplicity 2)
Ru 0.000 0.500 0.000 (multiplicity 1)
O 0.187 0.303 0.186 (multiplicity 4)
O 0.264 0.500 0.735 (multiplicity 2)
O 0.322 0.000 0.676 (multiplicity 2)

Output
E	-7.55	eV/atom
ΔE_f (raw)	-28.2	eV per formula unit
total magnetic moment	0.097	μB/atom

Which of these has the lowest E? AcTb2RuO8

Which of these has the highest ΔE_f (raw)? Tl3CuPd2Cl9

What did the second record say?
Tl3CuPd2Cl9 | PBE | relaxed

Cell lengths 6.9951, 6.9951, 8.5620 Å; angles 90.00, 90.00, 120.00 degrees
Space group P-3m1 (No. 164)
One atom of each set of equivalent atoms:
Tl 0.0000 0.0000 0.0000 (multiplicity 1)
Tl 0.3333 0.6667 0.6603 (multiplicity 2)
Cu 0.0000 0.0000 0.5000 (multiplicity 1)
Pd 0.3333 0.6667 0.1682 (multiplicity 2)
Cl 0.0000 0.5000 0.0000 (multiplicity 3)
Cl 0.1651 0.3303 0.3349 (multiplicity 6)

Output
E	-3.23	eV/atom
ΔE_f (raw)	-10.3	eV per formula unit
total magnetic moment	0.000	μB/atom